1.
Density functional theory data (PBE-GGA) for BC after structural relaxation.

Cell: 7.1091 7.2397 7.2397 Å, 159.03 147.84 38.82°
Fractional positions:
B1 0.9515 0.0249 0.9266
B2 0.2343 0.1979 0.0364
B3 0.9733 0.7220 0.2513
B4 0.1973 0.8773 0.3200
B5 0.5093 0.5751 0.9343
C1 0.7326 0.4964 0.2362
C2 0.4296 0.3978 0.0318
C3 0.3480 0.0990 0.2490
C4 0.7953 0.8047 0.9906
C5 0.5788 0.3049 0.2739

Output
Calculated volume (A^3/atom): 7.1
Final energy (eV per atom): -7.619
Polymorph energy (0 for the lowest one) (eV per formula unit): 0.36
DOS(E_F) (states/eV/f.u.): 0.27
Size of the total moment (μB per cell): 0.000
ΔE_f (eV/atom): 0.332



2.
Density functional theory data (PBE-GGA) for BC after structural relaxation.

Cell: 7.8746 8.6201 8.6201 Å, 162.27 147.00 38.12°
Fractional positions:
B1 0.6104 0.3395 0.2708
B2 0.5146 0.1188 0.3958
B3 0.6272 0.9516 0.6757
B4 0.1205 0.8443 0.2762
B5 0.0045 0.6140 0.3905
B6 0.4978 0.5068 0.9910
C1 0.9704 0.3594 0.6110
C2 0.1546 0.0990 0.0557
C3 0.0130 0.9962 0.0168
C4 0.4517 0.8454 0.6063
C5 0.6733 0.6129 0.0604
C6 0.1120 0.4621 0.6499

Output
Calculated volume (A^3/atom): 8.1
Final energy (eV per atom): -7.691
Polymorph energy (0 for the lowest one) (eV per formula unit): 0.22
DOS(E_F) (states/eV/f.u.): 0.37
Size of the total moment (μB per cell): 0.000
ΔE_f (eV/atom): 0.260



3.
Density functional theory data (PBE-GGA) for BC after structural relaxation.

Cell: 5.9256 5.9256 5.3943 Å, 102.95 102.95 26.13°
Fractional positions:
B1 0.0271 0.0271 0.0842
B2 0.2651 0.2651 0.3732
B3 0.0168 0.0168 0.5016
B4 0.8572 0.8572 0.5186
B5 0.6578 0.6578 0.3545
B6 0.3308 0.3308 0.6834
C1 0.9130 0.9130 0.2182
C2 0.3358 0.3358 0.1534
C3 0.5871 0.5871 0.5785
C4 0.2514 0.2514 0.8865
C5 0.6699 0.6699 0.8518
C6 0.5880 0.5880 0.0461

Output
Calculated volume (A^3/atom): 6.8
Final energy (eV per atom): -7.569
Polymorph energy (0 for the lowest one) (eV per formula unit): 0.46
DOS(E_F) (states/eV/f.u.): 0.26
Size of the total moment (μB per cell): 0.000
ΔE_f (eV/atom): 0.382



4.
Density functional theory data (PBE-GGA) for B3C2 after structural relaxation.

Cell: 4.6016 4.6016 6.3662 Å, 72.03 72.03 32.26°
Fractional positions:
B1 0.9544 0.9544 0.0362
B2 0.7772 0.7772 0.8000
B3 0.5669 0.5669 0.8490
B4 0.6572 0.6572 0.5742
B5 0.4290 0.4290 0.6876
B6 0.4176 0.4176 0.3570
C1 0.7672 0.7672 0.0676
C2 0.2301 0.2301 0.4199
C3 0.1898 0.1898 0.2001
C4 0.0107 0.0107 0.2585

Output
Calculated volume (A^3/atom): 6.8
Final energy (eV per atom): -7.304
Polymorph energy (0 for the lowest one) (eV per formula unit): 0.90
DOS(E_F) (states/eV/f.u.): 0.46
Size of the total moment (μB per cell): 0.000
ΔE_f (eV/atom): 0.392



5.
Density functional theory data (PBE-GGA) for B3C after structural relaxation.

Cell: 2.7351 2.7351 16.8544 Å, 90.00 90.00 120.00°
Fractional positions:
B1 0.0000 0.0000 0.8243
B2 0.3333 0.6667 0.8827
B3 0.6667 0.3333 0.7244
B4 0.0000 0.0000 0.3177
B5 0.3333 0.6667 0.3786
B6 0.3333 0.6667 0.4772
B7 0.6667 0.3333 0.4960
B8 0.6667 0.3333 0.2180
B9 0.3333 0.6667 0.9861
C1 0.0000 0.0000 0.7313
C2 0.0000 0.0000 0.2251
C3 0.6667 0.3333 0.9886

Output
Calculated volume (A^3/atom): 9.1
Final energy (eV per atom): -6.824
Polymorph energy (0 for the lowest one) (eV per formula unit): 1.00
DOS(E_F) (states/eV/f.u.): 0.60
Size of the total moment (μB per cell): 0.000
ΔE_f (eV/atom): 0.490



6.
Density functional theory data (PBE-GGA) for BC after structural relaxation.

Cell: 2.5327 2.4554 12.8638 Å, 90.00 90.00 90.00°
Fractional positions:
B1 0.5000 0.0000 0.9239
B2 0.5000 0.5000 0.4823
B3 0.5000 0.0000 0.5888
B4 0.0000 0.0000 0.6906
B5 0.5000 0.5000 0.1553
B6 0.0000 0.0000 0.3197
C1 0.5000 0.5000 0.8377
C2 0.0000 0.5000 0.7746
C3 0.5000 0.0000 0.2416
C4 0.0000 0.5000 0.4071
C5 0.0000 0.0000 0.0069
C6 0.0000 0.5000 0.0717

Output
Calculated volume (A^3/atom): 6.7
Final energy (eV per atom): -7.577
Polymorph energy (0 for the lowest one) (eV per formula unit): 0.45
DOS(E_F) (states/eV/f.u.): 0.51
Size of the total moment (μB per cell): 0.000
ΔE_f (eV/atom): 0.374



7.
Density functional theory data (PBE-GGA) for BC after structural relaxation.

Cell: 4.6733 4.6733 7.5908 Å, 112.94 112.94 33.19°
Fractional positions:
B1 0.5016 0.5016 0.3470
B2 0.1717 0.1717 0.2100
B3 0.8790 0.8790 0.0963
B4 0.6210 0.6210 0.7787
B5 0.3283 0.3283 0.6650
B6 0.9984 0.9984 0.5280
C1 0.6775 0.6775 0.3467
C2 0.3353 0.3353 0.1660
C3 0.9998 0.9998 0.9890
C4 0.5002 0.5002 0.8860
C5 0.1647 0.1647 0.7090
C6 0.8225 0.8225 0.5283

Output
Calculated volume (A^3/atom): 6.9
Final energy (eV per atom): -7.674
Polymorph energy (0 for the lowest one) (eV per formula unit): 0.25
DOS(E_F) (states/eV/f.u.): 0.36
Size of the total moment (μB per cell): 0.000
ΔE_f (eV/atom): 0.277



8.
Density functional theory data (PBE-GGA) for B7C5 after structural relaxation.

Cell: 5.8951 5.8951 4.1480 Å, 90.03 89.97 144.22°
Fractional positions:
B1 0.1058 0.7997 0.5540
B2 0.8089 0.6900 0.2332
B3 0.5231 0.5128 0.5578
B4 0.1881 0.3548 0.2500
B5 0.3461 0.6897 0.9422
B6 0.5234 0.9756 0.2668
B7 0.6330 0.2725 0.9460
C1 0.0013 0.4869 0.7266
C2 0.8487 0.1696 0.5209
C3 0.3203 0.1679 0.7734
C4 0.0029 0.0153 0.9791
C5 0.6985 0.8652 0.7500

Output
Calculated volume (A^3/atom): 7.0
Final energy (eV per atom): -7.327
Polymorph energy (0 for the lowest one) (eV per formula unit): 2.96
DOS(E_F) (states/eV/f.u.): 2.33
Size of the total moment (μB per cell): 0.000
ΔE_f (eV/atom): 0.411



Among the records above, which one has the highest ΔE_f?
B3C



Number 4 is which compound?
B3C2



polymorph energy (0 for the lowest one) of number 1 (BC)?
0.36 eV per formula unit